A PBEsol-optimized structure of La3BMo, computed with SCAN.

Values from the calculation:
Energy of formation in kJ/mol of formula units: 305
Symmetry: Pm-3m (221)
E_tot in eV per atom: -33.694
Calculated density in Mg/m³: 6.38

a = 5.144 Å, b = 5.144 Å, c = 5.144 Å
α = 90.00°, β = 90.00°, γ = 90.00°
Positions (direct):
La (0.000, 0.000, 0.500)
La (0.000, 0.500, 0.000)
La (0.500, 0.000, 0.000)
B (0.000, 0.000, 0.000)
Mo (0.500, 0.500, 0.500)